Crystalline Ce2TlHg3 at its relaxed geometry, computed with PBE.

Computed properties:
E_form = -22.3 kJ/mol of atoms
Relative energy among the computed polymorphs = 0.0 kJ per mole of atoms

Cell: 4.8010 14.0768 4.7112 Å, 90.00 90.00 90.00°
Closest atoms and distances in Å follow each position.
Space group Cmmm (No. 65)
Asymmetric unit:
Ce 0.0000 0.1660 0.0000 (multiplicity 4)  8 Hg 3.30-3.36, 2 Tl 3.35, 2 Ce 3.37
Tl 0.0000 0.5000 0.0000 (multiplicity 2)  4 Ce 3.35, 8 Hg 3.36
Hg 0.0000 0.0000 0.5000 (multiplicity 2)  4 Ce 3.32, 4 Tl 3.36, 4 Hg 3.39
Hg 0.0000 0.3301 0.5000 (multiplicity 4)  4 Hg 3.29-3.39, 6 Ce 3.30-3.36, 2 Tl 3.36

---

Crystalline Nb2BiRu at its relaxed geometry, computed with PBE.

Computed properties:
E_form = 49.6 kJ/mol of atoms
Relative energy among the computed polymorphs = 12.8 kJ per mole of atoms

Cell: 3.1438 3.1438 29.1818 Å, 90.00 90.00 120.00°
Closest atoms and distances in Å follow each position.
Space group R-3m (No. 166, hexagonal axes)
Asymmetric unit:
Nb 0.0000 0.0000 0.0991 (multiplicity 6)  3 Ru 2.68, 1 Bi 2.89
Bi 0.0000 0.0000 0.0000 (multiplicity 3)  2 Nb 2.89, 6 Bi 3.14
Ru 0.0000 0.0000 0.5000 (multiplicity 3)  6 Nb 2.68

---

Crystalline KPm4NdS8 at its relaxed geometry, computed with PBE.

Computed properties:
E_form (uncorrected) = -1913.9 meV per atom

Cell: 8.4275 8.4275 20.7372 Å, 90.00 90.00 120.00°
Closest atoms and distances in Å follow each position.
Space group R3m (No. 160, hexagonal axes)
Asymmetric unit:
K 0.0000 0.0000 0.0000 (multiplicity 3)  4 S 2.91-2.92
Pm 0.0000 0.0000 0.7490 (multiplicity 3)  4 S 2.73-2.74
Pm 0.0107 0.5054 0.8755 (multiplicity 9)  6 S 2.75-2.95
Nd 0.0000 0.0000 0.3700 (multiplicity 3)  6 S 2.77-2.96
S 0.0000 0.0000 0.1405 (multiplicity 3)  3 Pm 2.75, 1 K 2.91
S 0.0000 0.0000 0.6167 (multiplicity 3)  4 Pm 2.74-2.95
S 0.0190 0.5095 0.1269 (multiplicity 9)  3 Pm 2.73-2.95, 1 Nd 2.96
S 0.1875 0.3750 0.9514 (multiplicity 9)  2 Pm 2.75, 1 Nd 2.77, 1 K 2.92

---

Crystalline CdRe2W at its relaxed geometry, computed with PBE.

Computed properties:
E_form = 30.5 kJ/mol of atoms

Cell: 2.8192 2.8192 28.7204 Å, 90.00 90.00 120.00°
Closest atoms and distances in Å follow each position.
Space group R3m (No. 160, hexagonal axes)
Asymmetric unit:
Cd 0.0000 0.0000 0.0000 (multiplicity 3)  6 Cd 2.82, 3 Re 3.02, 3 W 3.05
Re 0.0000 0.0000 0.4959 (multiplicity 3)  9 Re 2.68-2.82, 3 W 2.83
Re 0.0000 0.0000 0.7553 (multiplicity 3)  9 Re 2.68-2.82
W 0.0000 0.0000 0.2434 (multiplicity 3)  6 W 2.82, 3 Re 2.83, 3 Cd 3.05

---

| no. | total DFT energy (no corrections) (eV/atom) |
| --- | --- |
| 1 | -2.7549 |
| 2 | -7.8096 |
| 3 | -6.0487 |
| 4 | -9.3748 |